12
Lattice="-3.261 -1.449 -2.166 -3.673 -5.554 1.174 -4.477 3.842 4.171" Properties=species:S:1:pos:R:3 comment="PBE-GGA Cu4PdPt, optimized geometry" m_tot_mub_per_fu=0.00 mass_density_g_cm3=11.5 spacegroup="No. 12" formation_energy_ev_per_atom=-0.066 pbc="T T T"
Cu -6.756 0.380 3.871
Cu -5.264 -0.901 2.481
Cu -10.223 -3.117 3.371
Cu -6.148 -2.261 0.699
Cu -8.730 -4.398 1.981
Cu -1.189 -0.045 -0.192
Cu -2.681 1.236 1.199
Cu -4.655 -3.541 -0.692
Pd -4.276 1.493 3.422
Pd -7.135 -4.655 -0.243
Pt -3.668 -1.153 0.253
Pt -7.743 -2.009 2.926